1.
{
  "formula": "Y2TeSeCl",
  "functional": "PBE",
  "state": "relaxed",
  "final_energy_ev_per_fu": -22.69,
  "cell": [[-4.4059, 1.2274, -3.4452], [3.2760, -0.5669, -4.3915], [-1.3331, -5.5618, -0.2765]],
  "species": ["Se", "Y", "Y", "Te", "Cl"],
  "frac_coords": [[0.0000, 0.5000, 0.0000], [0.0000, 0.0000, 0.5000], [0.5000, 0.0000, 0.0000], [0.0000, 0.0000, 0.0000], [0.5000, 0.5000, 0.5000]]
}


2.
{
  "formula": "CaCrP2Ir",
  "functional": "PBE",
  "state": "relaxed",
  "final_energy_ev_per_fu": -35.15,
  "delta_e_f_kcal_per_mol_atoms": -17.71,
  "cell": [[4.0391, 0.0000, 0.0000], [0.0000, 4.0391, 0.0000], [-2.0196, -2.0196, 4.9601]],
  "species": ["Ir", "P", "P", "Cr", "Ca"],
  "frac_coords": [[0.2500, 0.7500, 0.5000], [0.3716, 0.3716, 0.7432], [0.6284, 0.6284, 0.2568], [0.7500, 0.2500, 0.5000], [0.0000, 0.0000, 0.0000]]
}


3.
{
  "formula": "AgSbOs",
  "functional": "PBE",
  "state": "relaxed",
  "final_energy_ev_per_fu": -16.62,
  "cell": [[-1.6238, -5.3070, 0.4203], [1.8363, -4.0646, 3.3293], [-1.6871, 5.2977, -0.2559]],
  "species": ["Os", "Ag", "Sb"],
  "frac_coords": [[0.3178, 0.3178, 0.0000], [0.9964, 0.9964, 0.0000], [0.6858, 0.6858, 0.0000]]
}


4.
{
  "formula": "LiAs2W",
  "functional": "PBE",
  "state": "relaxed",
  "final_energy_ev_per_fu": -24.93,
  "delta_e_f_kcal_per_mol_atoms": -4.38,
  "cell": [[3.3107, -0.0238, 0.0179], [1.6767, 2.8549, 0.0179], [1.6171, 0.9179, 7.5095]],
  "species": ["As", "As", "W", "Li"],
  "frac_coords": [[0.9931, 0.9931, 0.0199], [0.5069, 0.5069, 0.4801], [0.2500, 0.2500, 0.2500], [0.7500, 0.7500, 0.7500]]
}